# 1
# Ba2Li2Bi (GGA-PBE, optimized geometry)
data_Ba2Li2Bi
_symmetry_space_group_name_H-M 'I 4/m m m'
_symmetry_Int_Tables_number 139
_symmetry_space_group_name_Hall '-I 4 2'
_cell_length_a 6.6989
_cell_length_b 6.6989
_cell_length_c 8.1040
_cell_angle_alpha 90.00
_cell_angle_beta 90.00
_cell_angle_gamma 90.00
loop_
_atom_site_label
_atom_site_fract_x
_atom_site_fract_y
_atom_site_fract_z
Ba1 0.0000 0.5000 0.2500
Li1 0.0000 0.0000 0.1578
Bi1 0.0000 0.0000 0.5000
# * electronic total energy: -2.5650 eV per atom
# * theoretical density: 4.543 g/cm3
# * D(E_F): 14.3 states/eV/cell
# * total magnetization: 0.0 μB per cell

***

# 2
# La2NdScAs4 (GGA-PBE, optimized geometry)
data_La2NdScAs4
_symmetry_space_group_name_H-M 'P 1 2/m 1'
_symmetry_Int_Tables_number 10
_cell_length_a 7.3250
_cell_length_b 4.2440
_cell_length_c 7.3310
_cell_angle_alpha 90.00
_cell_angle_beta 109.50
_cell_angle_gamma 90.00
loop_
_symmetry_equiv_pos_as_xyz
'x,y,z'
'-x,-y,-z'
'-x,y,-z'
'x,-y,z'
loop_
_atom_site_label
_atom_site_fract_x
_atom_site_fract_y
_atom_site_fract_z
La1 0.0000 0.0000 0.0000
La2 0.0000 0.5000 0.5000
Nd1 0.5000 0.0000 0.5000
Sc1 0.5000 0.5000 0.0000
As1 0.2621 0.5000 0.2436
As2 0.2693 0.0000 0.7666
# * electronic total energy: -6.4045 eV per atom
# * theoretical density: 5.926 g/cm3
# * D(E_F): 0.8 states/eV/cell
# * total magnetization: 0.0 μB per cell